Density functional theory data (PBE) for an optimized crystal structure of YbBiAu.

Properties
* total moment: 0.00 μB per formula unit
* energy relative to the elements: -16.87 kcal/mol of atoms
* SG: No. 186
* D(E_F): 0.41 states/eV/cell

Cell and atoms, written as CIF:
```
data_YbBiAu
_chemical_formula_sum 'Yb2 Bi2 Au2'
_symmetry_space_group_name_H-M 'P 1'
_symmetry_Int_Tables_number 1
_symmetry_space_group_name_Hall 'P 1'
_cell_length_a 4.830
_cell_length_b 4.830
_cell_length_c 7.850
_cell_angle_alpha 90.00
_cell_angle_beta 90.00
_cell_angle_gamma 120.00
loop_
_atom_site_label
_atom_site_type_symbol
_atom_site_fract_x
_atom_site_fract_y
_atom_site_fract_z
Yb1 Yb 0.000 0.000 0.520
Yb2 Yb 0.000 0.000 0.020
Au1 Au 0.333 0.667 0.184
Au2 Au 0.667 0.333 0.684
Bi1 Bi 0.333 0.667 0.795
Bi2 Bi 0.667 0.333 0.295
```